1.
Tl2TcW: relaxed, PBE-GGA.

```
4
Lattice="3.088 0.000 0.000 0.000 5.171 0.000 0.000 0.000 4.835" Properties=species:S:1:pos:R:3 pbc="T T T"
Tl 1.544 2.586 0.000
Tl 0.000 0.000 0.000
Tc 0.000 2.586 2.418
W 1.544 0.000 2.418
```

* SG: No. 47
* energy of formation: 1.033 eV per atom
* electronic total energy: -5.980 eV per atom
* E above lowest polymorph: 585 meV/atom
* size of the total moment: 0.19 μB/f.u.

=====

2.
Eu2ThAu: relaxed, PBE-GGA.

```
4
Lattice="-2.616 -1.956 1.562 0.462 -3.553 0.521 3.895 0.284 11.075" Properties=species:S:1:pos:R:3 pbc="T T T"
Eu -0.749 -4.862 5.244
Eu 2.490 -0.361 7.913
Au 0.871 -2.612 6.579
Th 0.000 0.000 0.000
```

* SG: No. 166
* energy of formation: -0.011 eV per atom
* electronic total energy: -7.823 eV per atom
* E above lowest polymorph: 247 meV/atom
* size of the total moment: 15.04 μB/f.u.

=====

3.
PmAg4Ge2: relaxed, PBE-GGA.

```
14
Lattice="-1.375 -2.135 3.480 7.568 -0.594 2.626 -0.822 6.951 3.940" Properties=species:S:1:pos:R:3 pbc="T T T"
Ag 6.343 4.043 4.987
Ag 1.722 4.532 6.128
Ag 2.504 0.425 1.250
Ag 4.242 5.932 5.316
Ag 0.033 2.941 4.484
Ag 3.648 -0.310 3.918
Ag 0.403 2.314 1.579
Ag 5.337 1.281 5.562
Ge 5.780 1.013 2.906
Ge 4.123 3.465 6.422
Ge 0.966 5.344 3.660
Ge 1.248 0.757 3.624
Pm -0.688 -1.068 1.740
Pm 3.373 3.179 3.283
```

* SG: No. 136
* energy of formation: -0.238 eV per atom
* electronic total energy: -3.865 eV per atom
* E above lowest polymorph: 21 meV/atom
* size of the total moment: 0.00 μB/f.u.

=====

4.
PmHo2Hg2: relaxed, PBE-GGA.

```
10
Lattice="-1.200 1.791 -3.053 2.960 -3.244 -3.066 -9.939 -9.601 0.562" Properties=species:S:1:pos:R:3 pbc="T T T"
Ho 1.211 -3.265 -2.394
Ho -9.390 -7.789 -3.164
Ho -5.420 -4.507 -2.803
Ho -2.759 -6.547 -2.755
Hg -1.421 -4.048 -4.107
Hg -0.813 -0.703 -2.380
Hg -7.366 -10.351 -3.177
Hg -6.758 -7.007 -1.450
Pm -5.832 -7.698 -4.503
Pm -2.347 -3.357 -1.054
```

* SG: No. 11
* energy of formation: -0.383 eV per atom
* electronic total energy: -3.285 eV per atom
* E above lowest polymorph: 0 meV/atom
* size of the total moment: 0.00 μB/f.u.

=====

5.
In2SnHg5Pb: relaxed, PBE-GGA.

```
18
Lattice="-2.659 -2.048 -1.142 7.416 -5.739 -1.473 -1.586 -5.556 13.658" Properties=species:S:1:pos:R:3 pbc="T T T"
Sn 1.436 -7.282 4.212
Sn 1.147 -8.118 11.889
Hg -1.139 -3.111 2.727
Hg -0.191 -6.561 6.709
Hg 4.289 -10.300 8.484
Hg 4.596 -8.265 -1.384
Hg 0.537 -3.912 0.262
Hg 3.889 -4.935 -0.206
Hg -0.917 -3.296 8.048
Hg 0.731 -8.928 8.808
Hg 3.073 -7.888 6.991
Hg 2.385 -4.606 2.707
In 0.228 -5.673 9.644
In 2.972 -7.564 1.142
In 0.699 -3.827 5.236
In 1.942 -11.369 10.364
Pb -2.008 -7.027 11.776
Pb 4.629 -8.241 4.001
```

* SG: No. 36
* energy of formation: 0.033 eV per atom
* electronic total energy: -1.600 eV per atom
* size of the total moment: 0.00 μB/f.u.

=====

6.
YBCl: relaxed, PBE-GGA.

```
12
Lattice="-0.590 1.121 -3.381 -0.071 -3.115 -1.020 -19.899 -0.614 3.268" Properties=species:S:1:pos:R:3 pbc="T T T"
Cl -7.343 0.134 -2.530
Cl -16.997 -0.733 0.794
Cl -3.563 -1.875 -1.928
Cl -13.217 -2.742 1.396
Y -18.324 -2.900 2.235
Y -8.670 -2.033 -1.089
Y -2.236 0.292 -3.368
Y -11.890 -0.575 -0.045
B -20.052 -0.827 1.297
B -10.752 -1.527 -2.486
B -9.807 -1.081 1.352
B -0.508 -1.781 -2.430
```

* SG: No. 63
* formation energy (no corrections): -1.193 eV per atom
* electronic total energy: -6.189 eV per atom
* E above lowest polymorph: 89 meV/atom
* size of the total moment: 0.00 μB/f.u.

=====

7.
CuRePb2: relaxed, PBE-GGA.

```
4
Lattice="-2.679 -1.182 -0.754 1.009 -2.993 1.106 -3.127 1.932 8.078" Properties=species:S:1:pos:R:3 pbc="T T T"
Pb -2.862 1.768 7.394
Pb -1.843 -1.465 2.779
Cu -3.039 -0.726 5.868
Re -1.745 1.078 4.507
```

* SG: No. 25
* energy of formation: 0.594 eV per atom
* electronic total energy: -5.396 eV per atom
* E above lowest polymorph: 0 meV/atom
* size of the total moment: 0.00 μB/f.u.

=====

8.
LiZr2Te: relaxed, PBE-GGA.

```
4
Lattice="4.918 0.000 0.000 2.459 4.259 0.000 2.459 1.420 4.016" Properties=species:S:1:pos:R:3 pbc="T T T"
Zr 7.377 4.259 3.012
Zr 0.000 0.000 0.000
Te 2.459 1.420 1.004
Li 4.918 2.839 2.008
```

* SG: No. 216
* formation energy (no corrections): 0.051 eV per atom
* electronic total energy: -5.487 eV per atom
* size of the total moment: 0.95 μB/f.u.

=====

9.
KRbLiBr3: relaxed, PBE-GGA.

```
12
Lattice="4.560 0.000 0.000 0.000 9.945 0.989 0.000 -2.768 9.822" Properties=species:S:1:pos:R:3 pbc="T T T"
Br 3.420 3.694 2.049
Br 1.140 3.482 8.763
Br 1.140 -1.307 8.387
Br 3.420 8.484 2.425
Br 1.140 6.948 5.608
Br 3.420 0.229 5.203
Li 1.140 -0.818 5.957
Li 3.420 7.995 4.854
K 3.420 1.162 8.596
K 1.140 6.015 2.215
Rb 3.420 6.007 8.645
Rb 1.140 1.170 2.166
```

* SG: No. 11
* formation energy (no corrections): -1.662 eV per atom
* electronic total energy: -3.161 eV per atom
* size of the total moment: 0.03 μB/f.u.

=====

> size of the total moment of number 5 (In2SnHg5Pb)?

0.00 μB/f.u.

=====

> Among the records above, which one has the lowest electronic total energy?

Eu2ThAu